1.
Compound: Ac2Ge3Ir2
Source: Alexandria
Functional: PBE-GGA
Structure: optimized geometry

Cell and atoms, written as extended XYZ:
```
14
Lattice="4.3991 0.0000 -1.0488 0.0000 7.2750 0.0000 -0.0016 0.0000 9.7437" Properties=species:S:1:pos:R:3 pbc="T T T"
Ac 0.6969 1.8187 2.9232
Ac 3.7006 5.4562 5.7717
Ac 4.1377 1.8187 7.6048
Ac 0.2599 5.4562 1.0901
Ge 0.9942 5.4562 4.1700
Ge 3.4034 1.8187 4.5249
Ge 2.4811 3.1487 0.6564
Ge 1.9165 4.1262 8.0385
Ge 1.9165 6.7862 8.0385
Ge 2.4811 0.4887 0.6564
Ir 3.0505 6.8855 3.0449
Ir 1.3470 0.3895 5.6500
Ir 1.3470 3.2480 5.6500
Ir 3.0505 4.0270 3.0449
```

space group: Cmcm (63)
excess energy over the best structure of this formula in the dataset: 0.021 eV/atom
energy of formation: -564 meV per atom


2.
Compound: CePm2TmBi5
Source: Alexandria
Functional: PBE-GGA
Structure: optimized geometry

Cell and atoms, written as extended XYZ:
```
9
Lattice="5.5782 0.0000 0.0000 0.0000 5.5782 0.0000 0.0000 0.0000 11.8061" Properties=species:S:1:pos:R:3 pbc="T T T"
Ce 0.0000 0.0000 5.9030
Pm 2.7891 2.7891 3.2783
Pm 2.7891 2.7891 8.5277
Tm 0.0000 0.0000 0.0000
Bi 0.0000 2.7891 5.9030
Bi 2.7891 0.0000 5.9030
Bi 0.0000 0.0000 8.9241
Bi 0.0000 0.0000 2.8820
Bi 2.7891 2.7891 0.0000
```

space group: P4/mmm (123)
energy of formation: -19 meV per atom


3.
Compound: HfHS
Source: Alexandria
Functional: PBE-GGA
Structure: optimized geometry

Cell and atoms, written as extended XYZ:
```
3
Lattice="-1.7019 -0.1892 2.6015 2.5405 -0.8244 1.6020 0.3643 4.4786 -1.3003" Properties=species:S:1:pos:R:3 pbc="T T T"
H 0.0641 0.3251 0.0656
S 0.5033 2.5514 0.5148
Hf 0.6354 0.5885 2.3228
```

space group: I4mm (107)
VASP energy: -6.46 eV/atom


4.
Compound: Ce2Ge6OsPd
Source: Alexandria
Functional: PBE-GGA
Structure: optimized geometry

Cell and atoms, written as extended XYZ:
```
20
Lattice="-2.0684 -4.5674 -3.5416 2.7108 -1.1815 -5.3795 8.3260 -10.1639 2.9254" Properties=species:S:1:pos:R:3 pbc="T T T"
Ce 3.7851 -8.9442 -6.6356
Ce 5.1833 -6.9686 0.6400
Ce 7.5165 -12.7382 -3.9221
Ce 1.4518 -3.1747 -2.0736
Ge 2.1752 -8.5282 -4.0358
Ge 4.9815 -6.5401 -5.1149
Ge 3.3897 -5.8463 -1.9562
Ge 6.7931 -7.3846 -1.9599
Ge 3.9869 -9.3728 -0.8808
Ge 5.5786 -10.0666 -4.0395
Ge 5.9134 -12.2799 -1.3281
Ge 8.6725 -10.3252 -2.3891
Ge 7.1075 -9.6431 0.7165
Ge 3.0549 -3.6330 -4.6676
Ge 0.2959 -5.5877 -3.6066
Ge 1.8608 -6.2698 -6.7122
Os 2.6309 -6.0721 -4.3456
Os 6.3375 -9.8407 -1.6501
Pd 0.0000 0.0000 0.0000
Pd 4.4842 -7.9564 -2.9978
```

space group: R-3m (166)
energy of formation: -306 meV per atom


| no. | density of states at the Fermi level (states/eV/f.u.) |
| --- | --- |
| 1 | 4.25 |
| 2 | 8.38 |
| 3 | 1.00 |
| 4 | 12.78 |